{"formula": "ZrMoAs", "functional": "PBE", "state": "relaxed", "lattice": [[3.535, 0.000, 0.000], [0.000, 4.971, 0.000], [0.000, 0.000, 12.387]], "species": ["Zr", "Zr", "Zr", "Zr", "Mo", "Mo", "Mo", "Mo", "As", "As", "As", "As"], "frac_coords": [[0.000, 0.000, 0.000], [0.000, 0.500, 0.500], [0.500, 0.000, 0.500], [0.500, 0.500, 0.000], [0.000, 0.000, 0.682], [0.000, 0.500, 0.182], [0.500, 0.000, 0.182], [0.500, 0.500, 0.682], [0.000, 0.000, 0.332], [0.000, 0.500, 0.832], [0.500, 0.000, 0.832], [0.500, 0.500, 0.332]], "e_form_ev_per_atom": -0.14, "magnetic_moment_mub_per_cell": 0.00, "space_group": "Fmm2, No. 42", "n_ef_per_ev_cell": 10.63}